# 1
Below is SrIn2Au after structural relaxation, with properties calculated at the PBE-GGA level.

CIF file:
```
data_SrIn2Au
_chemical_formula_sum 'Sr2 In4 Au2'
_space_group_name_H-M_alt 'I 4/m m m'
_space_group_IT_number 139
_space_group_name_Hall '-I 4 2'
_cell_length_a 4.4796
_cell_length_b 4.4796
_cell_length_c 11.1745
_cell_angle_alpha 90.00
_cell_angle_beta 90.00
_cell_angle_gamma 90.00
loop_
_atom_site_label
_atom_site_type_symbol
_atom_site_fract_x
_atom_site_fract_y
_atom_site_fract_z
_atom_site_occupancy
Sr1 Sr 0.0000 0.0000 0.0000 1
In1 In 0.0000 0.5000 0.2500 1
Au1 Au 0.0000 0.0000 0.5000 1
```

Results
* calculated formation energy: -300.1 meV per atom



# 2
Below is Ca2HfCrPt after structural relaxation, with properties calculated at the PBE-GGA level.

CIF file:
```
data_Ca2HfCrPt
_chemical_formula_sum 'Ca2 Hf1 Cr1 Pt1'
_space_group_name_H-M_alt 'P 4/m m m'
_space_group_IT_number 123
_space_group_name_Hall '-P 4 2'
_cell_length_a 5.1727
_cell_length_b 5.1727
_cell_length_c 4.6854
_cell_angle_alpha 90.00
_cell_angle_beta 90.00
_cell_angle_gamma 90.00
loop_
_atom_site_label
_atom_site_type_symbol
_atom_site_fract_x
_atom_site_fract_y
_atom_site_fract_z
_atom_site_occupancy
Ca1 Ca 0.0000 0.5000 0.0000 1
Hf1 Hf 0.0000 0.0000 0.5000 1
Cr1 Cr 0.0000 0.0000 0.0000 1
Pt1 Pt 0.5000 0.5000 0.5000 1
```

Results
* calculated formation energy: 730.8 meV per atom



# 3
Below is LiLa2CeO6 after structural relaxation, with properties calculated at the PBE-GGA level.

CIF file:
```
data_LiLa2CeO6
_chemical_formula_sum 'Li2 La4 Ce2 O12'
_space_group_name_H-M_alt 'P 1 21/c 1'
_space_group_IT_number 14
_space_group_name_Hall '-P 2ybc'
_cell_length_a 5.8468
_cell_length_b 5.8843
_cell_length_c 10.3598
_cell_angle_alpha 90.00
_cell_angle_beta 119.16
_cell_angle_gamma 90.00
loop_
_atom_site_label
_atom_site_type_symbol
_atom_site_fract_x
_atom_site_fract_y
_atom_site_fract_z
_atom_site_occupancy
Li1 Li 0.0000 0.0000 0.0000 1
La1 La 0.1977 0.0487 0.7380 1
Ce1 Ce 0.5000 0.0000 0.5000 1
O1 O 0.1486 0.2128 0.4365 1
O2 O 0.1858 0.7189 0.4042 1
O3 O 0.4303 0.0840 0.2780 1
```

Results
* raw formation energy: -278.74 kJ per mole of atoms



# 4
Below is CeThRuSe after structural relaxation, with properties calculated at the PBE-GGA level.

CIF file:
```
data_CeThRuSe
_chemical_formula_sum 'Ce3 Th3 Ru3 Se3'
_space_group_name_H-M_alt 'R 3 m'
_space_group_IT_number 160
_space_group_name_Hall 'R 3 -2"'
_cell_length_a 3.9904
_cell_length_b 3.9904
_cell_length_c 22.4512
_cell_angle_alpha 90.00
_cell_angle_beta 90.00
_cell_angle_gamma 120.00
loop_
_atom_site_label
_atom_site_type_symbol
_atom_site_fract_x
_atom_site_fract_y
_atom_site_fract_z
_atom_site_occupancy
Ce1 Ce 0.0000 0.0000 0.0000 1
Th1 Th 0.0000 0.0000 0.8105 1
Ru1 Ru 0.0000 0.0000 0.4007 1
Se1 Se 0.0000 0.0000 0.5741 1
```

Results
* raw formation energy: -92.84 kJ per mole of atoms



# 5
Below is TiH2Ru after structural relaxation, with properties calculated at the PBE-GGA level.

CIF file:
```
data_TiH2Ru
_chemical_formula_sum 'Ti4 H8 Ru4'
_space_group_name_H-M_alt 'I -4 2 d'
_space_group_IT_number 122
_space_group_name_Hall 'I -4 2bw'
_cell_length_a 4.0860
_cell_length_b 4.0860
_cell_length_c 8.7222
_cell_angle_alpha 90.00
_cell_angle_beta 90.00
_cell_angle_gamma 90.00
loop_
_atom_site_label
_atom_site_type_symbol
_atom_site_fract_x
_atom_site_fract_y
_atom_site_fract_z
_atom_site_occupancy
Ti1 Ti 0.0000 0.0000 0.0000 1
H1 H 0.2290 0.2500 0.6250 1
Ru1 Ru 0.0000 0.0000 0.5000 1
```

Results
* distance to the lowest polymorph of the same formula: 0 meV/atom



# 6
Below is PmNpS2N after structural relaxation, with properties calculated at the PBE-GGA level.

CIF file:
```
data_PmNpS2N
_chemical_formula_sum 'Pm2 Np2 S4 N2'
_space_group_name_H-M_alt 'P 4/n m m'
_space_group_IT_number 129
_cell_length_a 3.8627
_cell_length_b 3.8627
_cell_length_c 14.0942
_cell_angle_alpha 90.00
_cell_angle_beta 90.00
_cell_angle_gamma 90.00
loop_
_space_group_symop_operation_xyz
'x,y,z'
'-x,-y,-z'
'-y+1/2,x,z'
'y+1/2,-x,-z'
'-x+1/2,-y+1/2,z'
'x+1/2,y+1/2,-z'
'y,-x+1/2,z'
'-y,x+1/2,-z'
'x+1/2,-y,-z'
'-x+1/2,y,z'
'-y,-x,-z'
'y,x,z'
'-x,y+1/2,-z'
'x,-y+1/2,z'
'y+1/2,x+1/2,-z'
'-y+1/2,-x+1/2,z'
loop_
_atom_site_label
_atom_site_type_symbol
_atom_site_fract_x
_atom_site_fract_y
_atom_site_fract_z
_atom_site_occupancy
Pm1 Pm 0.2500 0.2500 0.1257 1
Np1 Np 0.2500 0.2500 0.5819 1
S1 S 0.2500 0.2500 0.3162 1
S2 S 0.2500 0.2500 0.9092 1
N1 N 0.2500 0.7500 0.5000 1
```

Results
* raw formation energy: -157.21 kJ per mole of atoms



# 7
Below is Ac6Pr5Y2 after structural relaxation, with properties calculated at the PBE-GGA level.

CIF file:
```
data_Ac6Pr5Y2
_chemical_formula_sum 'Ac12 Pr10 Y4'
_space_group_name_H-M_alt 'P b a m'
_space_group_IT_number 55
_space_group_name_Hall '-P 2 2ab'
_cell_length_a 11.4928
_cell_length_b 24.1516
_cell_length_c 3.7805
_cell_angle_alpha 90.00
_cell_angle_beta 90.00
_cell_angle_gamma 90.00
loop_
_atom_site_label
_atom_site_type_symbol
_atom_site_fract_x
_atom_site_fract_y
_atom_site_fract_z
_atom_site_occupancy
Ac1 Ac 0.0207 0.1128 0.0000 1
Ac2 Ac 0.1444 0.3846 0.0000 1
Ac3 Ac 0.1661 0.6340 0.5000 1
Pr1 Pr 0.0000 0.5000 0.5000 1
Pr2 Pr 0.0848 0.2489 0.5000 1
Pr3 Pr 0.1648 0.9961 0.5000 1
Y1 Y 0.1654 0.7668 0.0000 1
```

Results
* calculated formation energy: 138.7 meV per atom



# 8
Below is PrLuMgAg after structural relaxation, with properties calculated at the PBE-GGA level.

CIF file:
```
data_PrLuMgAg
_chemical_formula_sum 'Pr4 Lu4 Mg4 Ag4'
_space_group_name_H-M_alt 'F -4 3 m'
_space_group_IT_number 216
_space_group_name_Hall 'F -4 2 3'
_cell_length_a 7.4969
_cell_length_b 7.4969
_cell_length_c 7.4969
_cell_angle_alpha 90.00
_cell_angle_beta 90.00
_cell_angle_gamma 90.00
loop_
_atom_site_label
_atom_site_type_symbol
_atom_site_fract_x
_atom_site_fract_y
_atom_site_fract_z
_atom_site_occupancy
Pr1 Pr 0.0000 0.0000 0.0000 1
Lu1 Lu 0.0000 0.0000 0.5000 1
Mg1 Mg 0.2500 0.2500 0.2500 1
Ag1 Ag 0.2500 0.2500 0.7500 1
```

Results
* calculated formation energy: -127.6 meV per atom



# 9
Below is Mn2Co2Ag after structural relaxation, with properties calculated at the PBE-GGA level.

CIF file:
```
data_Mn2Co2Ag
_chemical_formula_sum 'Mn4 Co4 Ag2'
_space_group_name_H-M_alt 'P 4/m b m'
_space_group_IT_number 127
_space_group_name_Hall '-P 4 2ab'
_cell_length_a 6.9319
_cell_length_b 6.9319
_cell_length_c 2.5149
_cell_angle_alpha 90.00
_cell_angle_beta 90.00
_cell_angle_gamma 90.00
loop_
_atom_site_label
_atom_site_type_symbol
_atom_site_fract_x
_atom_site_fract_y
_atom_site_fract_z
_atom_site_occupancy
Mn1 Mn 0.1689 0.3311 0.0000 1
Co1 Co 0.1220 0.6220 0.5000 1
Ag1 Ag 0.0000 0.0000 0.5000 1
```

Results
* distance to the lowest polymorph of the same formula: 4 meV/atom
* calculated formation energy: 362.3 meV per atom



# 10
Below is HoVCl2 after structural relaxation, with properties calculated at the PBE-GGA level.

CIF file:
```
data_HoVCl2
_chemical_formula_sum 'Ho3 V3 Cl6'
_space_group_name_H-M_alt 'R -3 m'
_space_group_IT_number 166
_space_group_name_Hall '-R 3 2"'
_cell_length_a 3.6326
_cell_length_b 3.6326
_cell_length_c 25.2615
_cell_angle_alpha 90.00
_cell_angle_beta 90.00
_cell_angle_gamma 120.00
loop_
_atom_site_label
_atom_site_type_symbol
_atom_site_fract_x
_atom_site_fract_y
_atom_site_fract_z
_atom_site_occupancy
Ho1 Ho 0.0000 0.0000 0.0000 1
V1 V 0.0000 0.0000 0.5000 1
Cl1 Cl 0.0000 0.0000 0.1114 1
```

Results
* raw formation energy: -54.66 kJ per mole of atoms



# 11
Below is TmPd2Rh after structural relaxation, with properties calculated at the PBE-GGA level.

CIF file:
```
data_TmPd2Rh
_chemical_formula_sum 'Tm4 Pd8 Rh4'
_space_group_name_H-M_alt 'F m -3 m'
_space_group_IT_number 225
_space_group_name_Hall '-F 4 2 3'
_cell_length_a 6.5134
_cell_length_b 6.5134
_cell_length_c 6.5134
_cell_angle_alpha 90.00
_cell_angle_beta 90.00
_cell_angle_gamma 90.00
loop_
_atom_site_label
_atom_site_type_symbol
_atom_site_fract_x
_atom_site_fract_y
_atom_site_fract_z
_atom_site_occupancy
Tm1 Tm 0.0000 0.0000 0.0000 1
Pd1 Pd 0.2500 0.2500 0.2500 1
Rh1 Rh 0.0000 0.0000 0.5000 1
```

Results
* calculated formation energy: -583.1 meV per atom



# 12
Below is Tm4Sc3Tl after structural relaxation, with properties calculated at the PBE-GGA level.

CIF file:
```
data_Tm4Sc3Tl
_chemical_formula_sum 'Tm8 Sc6 Tl2'
_space_group_name_H-M_alt 'C m m m'
_space_group_IT_number 65
_space_group_name_Hall '-C 2 2'
_cell_length_a 11.0453
_cell_length_b 12.5995
_cell_length_c 3.3014
_cell_angle_alpha 90.00
_cell_angle_beta 90.00
_cell_angle_gamma 90.00
loop_
_atom_site_label
_atom_site_type_symbol
_atom_site_fract_x
_atom_site_fract_y
_atom_site_fract_z
_atom_site_occupancy
Tm1 Tm 0.0000 0.2454 0.0000 1
Tm2 Tm 0.2436 0.0000 0.5000 1
Sc1 Sc 0.0000 0.5000 0.0000 1
Sc2 Sc 0.2500 0.2500 0.5000 1
Tl1 Tl 0.0000 0.0000 0.0000 1
```

Results
* calculated formation energy: 333.3 meV per atom



| no. | N(E_F) (states/eV per cell) | volume (Å³ per atom) |
| --- | --- | --- |
| 1 | 5.01 | 28.03 |
| 2 | 4.18 | 25.07 |
| 3 | 17.55 | 15.56 |
| 4 | 11.52 | 25.80 |
| 5 | 0.05 | 9.10 |
| 6 | 17.49 | 21.03 |
| 7 | 40.20 | 40.36 |
| 8 | 16.23 | 26.33 |
| 9 | 16.40 | 12.08 |
| 10 | 9.70 | 24.06 |
| 11 | 7.15 | 17.27 |
| 12 | 28.89 | 28.71 |